(1)
# InMoP2 (PBE, optimized geometry)
# energy of formation from the pure elements: 0.5165 eV/atom
data_InMoP2
_symmetry_space_group_name_H-M 'I -4 m 2'
_symmetry_Int_Tables_number 119
_symmetry_space_group_name_Hall 'I -4 -2'
_cell_length_a 3.8059
_cell_length_b 3.8059
_cell_length_c 9.2083
_cell_angle_alpha 90.00
_cell_angle_beta 90.00
_cell_angle_gamma 90.00
loop_
_atom_site_label
_atom_site_fract_x
_atom_site_fract_y
_atom_site_fract_z
In1 0.0000 0.0000 0.0000
Mo1 0.0000 0.5000 0.7500
P1 0.0000 0.0000 0.5000
P2 0.0000 0.5000 0.2500



(2)
# CuGe2BS6 (PBE, optimized geometry)
# formation energy (no corrections): -0.196 eV per atom
data_CuGe2BS6
_symmetry_space_group_name_H-M 'C 1 2/c 1'
_symmetry_Int_Tables_number 15
_cell_length_a 12.4440
_cell_length_b 13.0823
_cell_length_c 6.1801
_cell_angle_alpha 90.00
_cell_angle_beta 117.68
_cell_angle_gamma 90.00
loop_
_symmetry_equiv_pos_as_xyz
'x,y,z'
'-x,-y,-z'
'-x,y,-z+1/2'
'x,-y,z+1/2'
'x+1/2,y+1/2,z'
'-x+1/2,-y+1/2,-z'
'-x+1/2,y+1/2,-z+1/2'
'x+1/2,-y+1/2,z+1/2'
loop_
_atom_site_label
_atom_site_fract_x
_atom_site_fract_y
_atom_site_fract_z
Cu1 0.0000 0.2200 0.2500
Ge1 0.2201 0.4132 0.1649
B1 0.0000 0.1999 0.7500
S1 0.0777 0.1174 0.6017
S2 0.1137 0.2604 0.0598
S3 0.1601 0.4398 0.4573